Entry 1:
BeBTeRu2: PBEsol geometry, meta-GGA SCAN.

Cell: 4.0587 4.0587 4.4610 Å, 90.00 90.00 90.00°
Element x y z (fractional)
Te 0.0000 0.0000 0.5000
Be 0.5000 0.5000 0.5000
B 0.0000 0.0000 0.0000
Ru 0.5000 0.0000 0.0000
Ru 0.0000 0.5000 0.0000

Calculated values
raw formation energy = 846 meV/atom
crystal system = tetragonal

Entry 2:
SiHg: PBEsol geometry, meta-GGA SCAN.

Cell: 3.4728 2.9889 8.3980 Å, 79.75 90.00 90.00°
Element x y z (fractional)
Si 0.7500 0.2770 0.4460
Si 0.2500 0.7230 0.5540
Hg 0.2500 0.5694 0.8612
Hg 0.7500 0.4306 0.1388

Calculated values
raw formation energy = 300 meV/atom
crystal system = orthorhombic

Entry 3:
FeAs2Pt: PBEsol geometry, meta-GGA SCAN.

Cell: 2.9532 2.9532 7.8267 Å, 79.13 79.13 60.00°
Site moments in Bohr magnetons follow the coordinates.
Element x y z (fractional)
As 0.7589 0.7589 0.7233  -0.05
As 0.2411 0.2411 0.2767  -0.05
Pt 0.0000 0.0000 0.0000  -0.03
Fe 0.5000 0.5000 0.5000  1.99

Calculated values
crystal system = trigonal
energy of formation from the pure elements = 0.04 eV per atom